RbSmV2O6 | PBE+U | optimized geometry

Calculated values
magnetization: 4.00 μB/cell
uncorrected energy: -147.6 eV for the cell shown

Lattice parameters (Å, degrees): 7.515 7.515 6.136 100.16 100.16 86.59
Element x y z (fractional)
1 Rb 0.178 0.822 0.750
2 Rb 0.822 0.178 0.250
3 Sm 0.398 0.602 0.250
4 Sm 0.602 0.398 0.750
5 V 0.130 0.303 0.799
6 V 0.303 0.130 0.299
7 V 0.697 0.870 0.701
8 V 0.870 0.697 0.201
9 O 0.094 0.616 0.274
10 O 0.152 0.179 0.038
11 O 0.179 0.152 0.538
12 O 0.318 0.459 0.876
13 O 0.384 0.906 0.226
14 O 0.459 0.318 0.376
15 O 0.541 0.682 0.624
16 O 0.616 0.094 0.774
17 O 0.682 0.541 0.124
18 O 0.821 0.848 0.462
19 O 0.848 0.821 0.962
20 O 0.906 0.384 0.726